(i)
VASP calculation (PBE) on an optimized crystal structure of Li3Cd4Hg.

```
data_Li3Cd4Hg
_chemical_formula_sum 'Li3 Cd4 Hg1'
_space_group_name_H-M_alt 'P -1'
_space_group_IT_number 2
_cell_length_a 3.129
_cell_length_b 4.463
_cell_length_c 12.062
_cell_angle_alpha 96.34
_cell_angle_beta 96.46
_cell_angle_gamma 90.16
loop_
_space_group_symop_operation_xyz
'x,y,z'
'-x,-y,-z'
loop_
_atom_site_label
_atom_site_type_symbol
_atom_site_fract_x
_atom_site_fract_y
_atom_site_fract_z
_atom_site_occupancy
Li1 Li 0.000 0.000 0.000 1
Li2 Li 0.142 0.677 0.306 1
Cd1 Cd 0.285 0.770 0.561 1
Cd2 Cd 0.410 0.872 0.805 1
Hg1 Hg 0.500 0.500 0.000 1
```


(ii)
VASP calculation (PBE) on an optimized crystal structure of Li3Cd4Hg.

```
data_Li3Cd4Hg
_chemical_formula_sum 'Li6 Cd8 Hg2'
_space_group_name_H-M_alt 'C 1 2/m 1'
_space_group_IT_number 12
_cell_length_a 14.448
_cell_length_b 4.772
_cell_length_c 4.772
_cell_angle_alpha 90.00
_cell_angle_beta 109.20
_cell_angle_gamma 90.00
loop_
_space_group_symop_operation_xyz
'x,y,z'
'-x,-y,-z'
'-x,y,-z'
'x,-y,z'
'x+1/2,y+1/2,z'
'-x+1/2,-y+1/2,-z'
'-x+1/2,y+1/2,-z'
'x+1/2,-y+1/2,z'
loop_
_atom_site_label
_atom_site_type_symbol
_atom_site_fract_x
_atom_site_fract_y
_atom_site_fract_z
_atom_site_occupancy
Li1 Li 0.000 0.000 0.000 1
Li2 Li 0.248 0.500 0.748 1
Cd1 Cd 0.134 0.000 0.632 1
Cd2 Cd 0.134 0.500 0.134 1
Hg1 Hg 0.000 0.500 0.500 1
```


So which one is most stable? That would be (ii), about 47 meV per atom below the next structure.


(i)
VASP calculation (PBE) on an optimized crystal structure of Li3Cd2Hg8.

```
data_Li3Cd2Hg8
_chemical_formula_sum 'Li6 Cd4 Hg16'
_space_group_name_H-M_alt 'C 1 2/m 1'
_space_group_IT_number 12
_cell_length_a 12.595
_cell_length_b 8.263
_cell_length_c 5.983
_cell_angle_alpha 90.00
_cell_angle_beta 97.84
_cell_angle_gamma 90.00
loop_
_space_group_symop_operation_xyz
'x,y,z'
'-x,-y,-z'
'-x,y,-z'
'x,-y,z'
'x+1/2,y+1/2,z'
'-x+1/2,-y+1/2,-z'
'-x+1/2,y+1/2,-z'
'x+1/2,-y+1/2,z'
loop_
_atom_site_label
_atom_site_type_symbol
_atom_site_fract_x
_atom_site_fract_y
_atom_site_fract_z
_atom_site_occupancy
Li1 Li 0.000 0.000 0.000 1
Li2 Li 0.000 0.180 0.500 1
Cd1 Cd 0.203 0.000 0.821 1
Hg1 Hg 0.101 0.500 0.396 1
Hg2 Hg 0.109 0.312 0.908 1
Hg3 Hg 0.174 0.000 0.325 1
```


(ii)
VASP calculation (PBE) on an optimized crystal structure of Li3Cd2Hg8.

```
data_Li3Cd2Hg8
_chemical_formula_sum 'Li3 Cd2 Hg8'
_space_group_name_H-M_alt 'P 1 2/m 1'
_space_group_IT_number 10
_cell_length_a 8.235
_cell_length_b 5.058
_cell_length_c 8.428
_cell_angle_alpha 90.00
_cell_angle_beta 119.23
_cell_angle_gamma 90.00
loop_
_space_group_symop_operation_xyz
'x,y,z'
'-x,-y,-z'
'-x,y,-z'
'x,-y,z'
loop_
_atom_site_label
_atom_site_type_symbol
_atom_site_fract_x
_atom_site_fract_y
_atom_site_fract_z
_atom_site_occupancy
Li1 Li 0.000 0.000 0.000 1
Li2 Li 0.295 0.500 0.999 1
Cd1 Cd 0.222 0.000 0.441 1
Hg1 Hg 0.110 0.500 0.219 1
Hg2 Hg 0.191 0.000 0.791 1
Hg3 Hg 0.335 0.500 0.669 1
Hg4 Hg 0.400 0.000 0.206 1
```


So which one is most stable? That would be (ii), about 25 meV per atom below the next structure.


(i)
VASP calculation (PBE) on an optimized crystal structure of Li3Cd4Hg2.

```
data_Li3Cd4Hg2
_chemical_formula_sum 'Li6 Cd8 Hg4'
_space_group_name_H-M_alt 'C 1 2/m 1'
_space_group_IT_number 12
_cell_length_a 12.783
_cell_length_b 4.316
_cell_length_c 7.039
_cell_angle_alpha 90.00
_cell_angle_beta 109.67
_cell_angle_gamma 90.00
loop_
_space_group_symop_operation_xyz
'x,y,z'
'-x,-y,-z'
'-x,y,-z'
'x,-y,z'
'x+1/2,y+1/2,z'
'-x+1/2,-y+1/2,-z'
'-x+1/2,y+1/2,-z'
'x+1/2,-y+1/2,z'
loop_
_atom_site_label
_atom_site_type_symbol
_atom_site_fract_x
_atom_site_fract_y
_atom_site_fract_z
_atom_site_occupancy
Li1 Li 0.000 0.000 0.000 1
Li2 Li 0.117 0.000 0.675 1
Cd1 Cd 0.055 0.500 0.344 1
Cd2 Cd 0.215 0.000 0.330 1
Hg1 Hg 0.159 0.500 0.988 1
```


(ii)
VASP calculation (PBE) on an optimized crystal structure of Li3Cd4Hg2.

```
data_Li3Cd4Hg2
_chemical_formula_sum 'Li6 Cd8 Hg4'
_space_group_name_H-M_alt 'C 1 2/m 1'
_space_group_IT_number 12
_cell_length_a 9.715
_cell_length_b 4.960
_cell_length_c 8.972
_cell_angle_alpha 90.00
_cell_angle_beta 121.29
_cell_angle_gamma 90.00
loop_
_space_group_symop_operation_xyz
'x,y,z'
'-x,-y,-z'
'-x,y,-z'
'x,-y,z'
'x+1/2,y+1/2,z'
'-x+1/2,-y+1/2,-z'
'-x+1/2,y+1/2,-z'
'x+1/2,-y+1/2,z'
loop_
_atom_site_label
_atom_site_type_symbol
_atom_site_fract_x
_atom_site_fract_y
_atom_site_fract_z
_atom_site_occupancy
Li1 Li 0.000 0.000 0.000 1
Li2 Li 0.171 0.500 0.656 1
Cd1 Cd 0.004 0.000 0.339 1
Cd2 Cd 0.174 0.500 0.001 1
Hg1 Hg 0.158 0.500 0.321 1
```


So which one is most stable? That would be (i), about 10 meV per atom below the next structure.


(i)
VASP calculation (PBE) on an optimized crystal structure of LiCd3Hg4.

```
data_LiCd3Hg4
_chemical_formula_sum 'Li2 Cd6 Hg8'
_space_group_name_H-M_alt 'P m m a'
_space_group_IT_number 51
_cell_length_a 10.391
_cell_length_b 6.638
_cell_length_c 5.250
_cell_angle_alpha 90.00
_cell_angle_beta 90.00
_cell_angle_gamma 90.00
loop_
_space_group_symop_operation_xyz
'x,y,z'
'-x,-y,-z'
'-x+1/2,-y,z'
'x+1/2,y,-z'
'x+1/2,-y,-z'
'-x+1/2,y,z'
'-x,y,-z'
'x,-y,z'
loop_
_atom_site_label
_atom_site_type_symbol
_atom_site_fract_x
_atom_site_fract_y
_atom_site_fract_z
_atom_site_occupancy
Li1 Li 0.000 0.000 0.000 1
Cd1 Cd 0.000 0.500 0.000 1
Cd2 Cd 0.250 0.000 0.365 1
Cd3 Cd 0.250 0.500 0.372 1
Hg1 Hg 0.000 0.241 0.500 1
Hg2 Hg 0.250 0.245 0.874 1
```


(ii)
VASP calculation (PBE) on an optimized crystal structure of LiCd3Hg4.

```
data_LiCd3Hg4
_chemical_formula_sum 'Li1 Cd3 Hg4'
_space_group_name_H-M_alt 'P m m 2'
_space_group_IT_number 25
_cell_length_a 3.550
_cell_length_b 4.728
_cell_length_c 11.285
_cell_angle_alpha 90.00
_cell_angle_beta 90.00
_cell_angle_gamma 90.00
loop_
_space_group_symop_operation_xyz
'x,y,z'
'-x,-y,z'
'-x,y,z'
'x,-y,z'
loop_
_atom_site_label
_atom_site_type_symbol
_atom_site_fract_x
_atom_site_fract_y
_atom_site_fract_z
_atom_site_occupancy
Li1 Li 0.000 0.000 0.000 1
Cd1 Cd 0.000 0.500 0.845 1
Cd2 Cd 0.500 0.000 0.506 1
Cd3 Cd 0.500 0.500 0.335 1
Hg1 Hg 0.000 0.000 0.247 1
Hg2 Hg 0.000 0.500 0.580 1
Hg3 Hg 0.500 0.000 0.779 1
Hg4 Hg 0.500 0.500 0.071 1
```


So which one is most stable? That would be (i), about 36 meV per atom below the next structure.


(i)
VASP calculation (PBE) on an optimized crystal structure of LiCd7Hg4.

```
data_LiCd7Hg4
_chemical_formula_sum 'Li1 Cd7 Hg4'
_space_group_name_H-M_alt 'P -1'
_space_group_IT_number 2
_cell_length_a 5.816
_cell_length_b 7.291
_cell_length_c 7.757
_cell_angle_alpha 74.06
_cell_angle_beta 70.06
_cell_angle_gamma 71.54
loop_
_space_group_symop_operation_xyz
'x,y,z'
'-x,-y,-z'
loop_
_atom_site_label
_atom_site_type_symbol
_atom_site_fract_x
_atom_site_fract_y
_atom_site_fract_z
_atom_site_occupancy
Li1 Li 0.000 0.000 0.000 1
Cd1 Cd 0.000 0.500 0.000 1
Cd2 Cd 0.137 0.098 0.296 1
Cd3 Cd 0.223 0.600 0.479 1
Cd4 Cd 0.495 0.218 0.903 1
Hg1 Hg 0.258 0.160 0.639 1
Hg2 Hg 0.423 0.687 0.779 1
```


(ii)
VASP calculation (PBE) on an optimized crystal structure of LiCd7Hg4.

```
data_LiCd7Hg4
_chemical_formula_sum 'Li2 Cd14 Hg8'
_space_group_name_H-M_alt 'C 1 2/m 1'
_space_group_IT_number 12
_cell_length_a 12.561
_cell_length_b 5.470
_cell_length_c 10.708
_cell_angle_alpha 90.00
_cell_angle_beta 124.94
_cell_angle_gamma 90.00
loop_
_space_group_symop_operation_xyz
'x,y,z'
'-x,-y,-z'
'-x,y,-z'
'x,-y,z'
'x+1/2,y+1/2,z'
'-x+1/2,-y+1/2,-z'
'-x+1/2,y+1/2,-z'
'x+1/2,-y+1/2,z'
loop_
_atom_site_label
_atom_site_type_symbol
_atom_site_fract_x
_atom_site_fract_y
_atom_site_fract_z
_atom_site_occupancy
Li1 Li 0.000 0.000 0.000 1
Cd1 Cd 0.000 0.500 0.000 1
Cd2 Cd 0.085 0.000 0.442 1
Cd3 Cd 0.195 0.500 0.904 1
Cd4 Cd 0.249 0.500 0.671 1
Hg1 Hg 0.089 0.500 0.328 1
Hg2 Hg 0.201 0.000 0.775 1
```


So which one is most stable? That would be (i), about 55 meV per atom below the next structure.


(i)
VASP calculation (PBE) on an optimized crystal structure of LiCd8Hg2.

```
data_LiCd8Hg2
_chemical_formula_sum 'Li2 Cd16 Hg4'
_space_group_name_H-M_alt 'C 1 2/m 1'
_space_group_IT_number 12
_cell_length_a 7.624
_cell_length_b 13.906
_cell_length_c 5.205
_cell_angle_alpha 90.00
_cell_angle_beta 110.50
_cell_angle_gamma 90.00
loop_
_space_group_symop_operation_xyz
'x,y,z'
'-x,-y,-z'
'-x,y,-z'
'x,-y,z'
'x+1/2,y+1/2,z'
'-x+1/2,-y+1/2,-z'
'-x+1/2,y+1/2,-z'
'x+1/2,-y+1/2,z'
loop_
_atom_site_label
_atom_site_type_symbol
_atom_site_fract_x
_atom_site_fract_y
_atom_site_fract_z
_atom_site_occupancy
Li1 Li 0.000 0.000 0.000 1
Cd1 Cd 0.000 0.213 0.000 1
Cd2 Cd 0.109 0.500 0.798 1
Cd3 Cd 0.204 0.109 0.674 1
Hg1 Hg 0.000 0.308 0.500 1
```


(ii)
VASP calculation (PBE) on an optimized crystal structure of LiCd8Hg2.

```
data_LiCd8Hg2
_chemical_formula_sum 'Li2 Cd16 Hg4'
_space_group_name_H-M_alt 'C 1 2/m 1'
_space_group_IT_number 12
_cell_length_a 13.164
_cell_length_b 7.713
_cell_length_c 5.341
_cell_angle_alpha 90.00
_cell_angle_beta 105.85
_cell_angle_gamma 90.00
loop_
_space_group_symop_operation_xyz
'x,y,z'
'-x,-y,-z'
'-x,y,-z'
'x,-y,z'
'x+1/2,y+1/2,z'
'-x+1/2,-y+1/2,-z'
'-x+1/2,y+1/2,-z'
'x+1/2,-y+1/2,z'
loop_
_atom_site_label
_atom_site_type_symbol
_atom_site_fract_x
_atom_site_fract_y
_atom_site_fract_z
_atom_site_occupancy
Li1 Li 0.000 0.000 0.000 1
Cd1 Cd 0.069 0.301 0.802 1
Cd2 Cd 0.141 0.500 0.350 1
Cd3 Cd 0.224 0.000 0.068 1
Hg1 Hg 0.123 0.000 0.494 1
```


So which one is most stable? That would be (ii), about 8 meV per atom below the next structure.